# 1
Compound: Cd2TcP
Source: Alexandria
Functional: PBE
Structure: optimized geometry

Magnetization ... 2.32 μB per cell
ΔH_f (0 K) ... 2.2 eV per formula unit
V ... 21.2 Å³/atom
E ... -30.90 eV for the cell shown
Space group ... I-42d

a b c (Å): 6.4860 6.4860 6.4860
angles (deg): 97.26 97.26 138.37
Atoms (fractional coordinates):
Cd 0.0356 0.6250 0.9106
Cd 0.3750 0.2856 0.4106
Cd 0.7144 0.1250 0.0894
Cd 0.8750 0.9644 0.5894
Tc 0.2500 0.7500 0.5000
Tc 0.5000 0.5000 0.0000
P 0.0000 0.0000 0.0000
P 0.7500 0.2500 0.5000

***

# 2
Compound: Pm2Y5Er12
Source: Alexandria
Functional: PBE
Structure: optimized geometry

Magnetization ... 0.00 μB per cell
ΔH_f (0 K) ... 1.3 eV per formula unit
V ... 31.8 Å³/atom
E ... -95.30 eV for the cell shown
Energy above the most stable polymorph in this dataset ... 0 meV/atom
Space group ... P-1

a b c (Å): 6.2617 9.0441 10.7665
angles (deg): 87.30 82.63 88.17
Atoms (fractional coordinates):
Pm 0.0470 0.0071 0.1565
Pm 0.9530 0.9929 0.8435
Y 0.2250 0.9385 0.5552
Y 0.3751 0.5112 0.1562
Y 0.5000 0.5000 0.5000
Y 0.6249 0.4888 0.8438
Y 0.7750 0.0615 0.4448
Er 0.0016 0.6754 0.3897
Er 0.0989 0.3281 0.9433
Er 0.1448 0.6395 0.7481
Er 0.3224 0.2019 0.3438
Er 0.4243 0.8331 0.9501
Er 0.4833 0.1625 0.7287
Er 0.5167 0.8375 0.2713
Er 0.5757 0.1669 0.0499
Er 0.6776 0.7981 0.6562
Er 0.8552 0.3605 0.2519
Er 0.9011 0.6719 0.0567
Er 0.9984 0.3246 0.6103

***

# 3
Compound: Dy2PuPaS4
Source: Alexandria
Functional: PBE
Structure: optimized geometry

Magnetization ... 5.92 μB per cell
Energy relative to the elements, uncorrected ... -1.84 eV per atom
V ... 21.1 Å³/atom
E ... -64.26 eV for the cell shown
Space group ... P2/m

a b c (Å): 6.7630 3.8801 6.8194
angles (deg): 90.00 109.13 90.00
Atoms (fractional coordinates):
Dy 0.0000 0.0000 0.0000
Dy 0.5000 0.5000 0.0000
Pu 0.0000 0.5000 0.5000
Pa 0.5000 0.0000 0.5000
S 0.2494 0.5000 0.2465
S 0.2522 0.0000 0.7529
S 0.7478 0.0000 0.2471
S 0.7506 0.5000 0.7535